No. 1
Compound: TlZnCdHg2
Source: the Alexandria database
Functional: GGA-PBE
Structure: optimized geometry

Cell lengths 5.324, 5.324, 5.133 Å; angles 90.00, 90.00, 90.00 degrees
Sites, in units of the cell vectors:
Tl 0.000 0.000 0.000
Zn 0.500 0.500 0.500
Cd 0.500 0.500 0.000
Hg 0.000 0.500 0.500
Hg 0.500 0.000 0.500

Total energy = -4.514 eV per cell
Space-group type = P4/mmm (123)

No. 2
Compound: SmNiSnRu
Source: the Alexandria database
Functional: GGA-PBE
Structure: optimized geometry

Cell lengths 6.650, 6.650, 6.650 Å; angles 90.00, 90.00, 90.00 degrees
Sites, in units of the cell vectors:
Sm 0.000 0.000 0.000
Sm 0.000 0.500 0.500
Sm 0.500 0.000 0.500
Sm 0.500 0.500 0.000
Ni 0.250 0.250 0.250
Ni 0.250 0.750 0.750
Ni 0.750 0.250 0.750
Ni 0.750 0.750 0.250
Sn 0.000 0.000 0.500
Sn 0.000 0.500 0.000
Sn 0.500 0.000 0.000
Sn 0.500 0.500 0.500
Ru 0.250 0.250 0.750
Ru 0.250 0.750 0.250
Ru 0.750 0.250 0.250
Ru 0.750 0.750 0.750

Total energy = -99.585 eV per cell
Space-group type = F-43m (216)

No. 3
Compound: Al2Tc2Ge
Source: the Alexandria database
Functional: GGA-PBE
Structure: optimized geometry

Cell lengths 6.631, 6.631, 3.498 Å; angles 90.00, 90.00, 90.00 degrees
Sites, in units of the cell vectors:
Al 0.142 0.358 0.000
Al 0.358 0.858 0.000
Al 0.642 0.142 0.000
Al 0.858 0.642 0.000
Tc 0.159 0.659 0.500
Tc 0.341 0.159 0.500
Tc 0.659 0.841 0.500
Tc 0.841 0.341 0.500
Ge 0.000 0.000 0.500
Ge 0.500 0.500 0.500

Total energy = -68.456 eV per cell
Space-group type = P4/mbm (127)

No. 4
Compound: DyGaNi6
Source: the Alexandria database
Functional: GGA-PBE
Structure: optimized geometry

Cell lengths 3.800, 3.800, 7.918 Å; angles 90.00, 90.00, 90.00 degrees
Sites, in units of the cell vectors:
Dy 0.000 0.000 0.000
Ga 0.000 0.000 0.500
Ni 0.000 0.500 0.319
Ni 0.000 0.500 0.681
Ni 0.500 0.000 0.319
Ni 0.500 0.000 0.681
Ni 0.500 0.500 0.143
Ni 0.500 0.500 0.857

Total energy = -43.282 eV per cell
Space-group type = P4/mmm (123)

Repeat the second record exactly.
Compound: SmNiSnRu
Source: the Alexandria database
Functional: GGA-PBE
Structure: optimized geometry

Cell lengths 6.650, 6.650, 6.650 Å; angles 90.00, 90.00, 90.00 degrees
Sites, in units of the cell vectors:
Sm 0.000 0.000 0.000
Sm 0.000 0.500 0.500
Sm 0.500 0.000 0.500
Sm 0.500 0.500 0.000
Ni 0.250 0.250 0.250
Ni 0.250 0.750 0.750
Ni 0.750 0.250 0.750
Ni 0.750 0.750 0.250
Sn 0.000 0.000 0.500
Sn 0.000 0.500 0.000
Sn 0.500 0.000 0.000
Sn 0.500 0.500 0.500
Ru 0.250 0.250 0.750
Ru 0.250 0.750 0.250
Ru 0.750 0.250 0.250
Ru 0.750 0.750 0.750

Total energy = -99.585 eV per cell
Space-group type = F-43m (216)

> Which of these has the lowest total energy?

SmNiSnRu

> Which value of total energy does entry 1 give?

-4.514 eV per cell